This record from Alexandria via LeMat-Bulk describes La2Au3 after structural relaxation. The functional is GGA-PBE.

a = 8.912 Å, b = 3.873 Å, c = 3.873 Å
α = 90.00°, β = 77.45°, γ = 102.55°
Atoms (fractional coordinates):
La  0.824  0.412  0.588
La  0.376  0.188  0.812
Au  0.005  0.002  0.998
Au  0.195  0.598  0.402
Au  0.600  0.800  0.200

The value obtained for the raw total energy is -23.64 eV/f.u. The value obtained for the distance to the lowest polymorph of the same formula is 21 meV/atom. The calculation puts the formation energy at -0.791 eV/atom.